DFT (GGA-PBE) results for crystalline CsHoCu at its relaxed geometry.

Total moment ... 0.0 μB/f.u.
Total DFT energy (no corrections) ... -2.24 eV per atom

a = 7.569 Å, b = 7.569 Å, c = 7.569 Å
α = 90.00°, β = 90.00°, γ = 90.00°
Space group F-43m (No. 216)
Asymmetric unit:
Cs 0.000 0.000 0.000 [4 per cell]
Ho 0.000 0.000 0.500 [4 per cell]
Cu 0.250 0.250 0.250 [4 per cell]